Compound: Ti3FeP6O24
Source: Alexandria
Functional: GGA-PBEsol
Structure: optimized geometry

a = 8.3798 Å, b = 8.3798 Å, c = 8.7613 Å
α = 61.43°, β = 61.43°, γ = 60.00°
Each line ends with the local moment (μB).
Sites, in units of the cell vectors:
Ti 0.8566 0.8566 0.4301  -0.01
Ti 0.6411 0.6411 0.0767  -0.01
Ti 0.3620 0.3620 0.9142  -0.01
Fe 0.1474 0.1474 0.5578  2.25
P 0.2547 0.9707 0.2535  0.00
P 0.9707 0.5211 0.2535  0.00
P 0.5211 0.2547 0.2535  0.00
P 0.4588 0.7625 0.7464  0.00
P 0.0323 0.4588 0.7464  0.00
P 0.7625 0.0323 0.7464  0.00
O 0.7257 0.8644 0.9216  0.03
O 0.4884 0.7257 0.9216  0.03
O 0.0568 0.9669 0.2956  0.04
O 0.8644 0.4884 0.9216  0.03
O 0.4137 0.7772 0.2328  0.01
O 0.2718 0.9888 0.4147  0.07
O 0.9669 0.6808 0.2956  0.04
O 0.7772 0.5762 0.2328  0.01
O 0.5762 0.4137 0.2328  0.01
O 0.6492 0.7527 0.5879  0.08
O 0.3018 0.9689 0.7074  0.12
O 0.0102 0.6492 0.5879  0.08
O 0.9888 0.3246 0.4147  0.07
O 0.6808 0.0568 0.2956  0.04
O 0.3246 0.2718 0.4147  0.07
O 0.3933 0.6085 0.7707  0.05
O 0.2274 0.3933 0.7707  0.05
O 0.0218 0.3018 0.7074  0.12
O 0.7527 0.0102 0.5879  0.08
O 0.6085 0.2274 0.7707  0.05
O 0.1334 0.4967 0.0765  0.05
O 0.9689 0.0218 0.7074  0.12
O 0.4967 0.2934 0.0765  0.05
O 0.2934 0.1334 0.0765  0.05

Calculated values
D(E_F): 19.455 states/eV/f.u.
formation energy (no corrections): -2.251 eV per atom
E: -271.18 eV/cell
symmetry: No. 146